# MgWN2Cl (PBE-GGA, relaxed)
# electronic total energy	-32.4	eV per formula unit
# formation energy without anion corrections	129	meV per atom
data_MgWN2Cl
_chemical_formula_sum 'Mg1 W1 N2 Cl1'
_cell_length_a 3.958
_cell_length_b 3.958
_cell_length_c 4.993
_cell_angle_alpha 90.00
_cell_angle_beta 90.00
_cell_angle_gamma 90.00
_symmetry_space_group_name_H-M 'P 4/m m m'
_symmetry_Int_Tables_number 123
_symmetry_space_group_name_Hall '-P 4 2'
loop_
_atom_site_label
_atom_site_type_symbol
_atom_site_fract_x
_atom_site_fract_y
_atom_site_fract_z
Mg1 Mg 0.000 0.000 0.000
W1 W 0.500 0.500 0.500
N1 N 0.000 0.500 0.500
Cl1 Cl 0.500 0.500 0.000

***

# Y2CrBr (PBE-GGA, relaxed)
# electronic total energy	-24.5	eV per formula unit
# formation energy without anion corrections	-69	meV per atom
data_Y2CrBr
_chemical_formula_sum 'Y6 Cr3 Br3'
_cell_length_a 3.6017
_cell_length_b 3.6017
_cell_length_c 29.9020
_cell_angle_alpha 90.00
_cell_angle_beta 90.00
_cell_angle_gamma 120.00
_symmetry_space_group_name_H-M 'R 3 m'
_symmetry_Int_Tables_number 160
_symmetry_space_group_name_Hall 'R 3 -2"'
loop_
_atom_site_label
_atom_site_type_symbol
_atom_site_fract_x
_atom_site_fract_y
_atom_site_fract_z
Y1 Y 0.0000 0.0000 0.0000
Y2 Y 0.0000 0.0000 0.2365
Cr1 Cr 0.0000 0.0000 0.4903
Br1 Br 0.0000 0.0000 0.7371

***

# LaNd2Zn2Sn2 (PBE-GGA, relaxed)
# electronic total energy	-27.9	eV per formula unit
# formation energy	-0.409	eV per atom
data_LaNd2Zn2Sn2
_chemical_formula_sum 'La3 Nd6 Zn6 Sn6'
_cell_length_a 4.6918
_cell_length_b 4.6918
_cell_length_c 29.7194
_cell_angle_alpha 90.00
_cell_angle_beta 90.00
_cell_angle_gamma 120.00
_symmetry_space_group_name_H-M 'R -3 m'
_symmetry_Int_Tables_number 166
_symmetry_space_group_name_Hall '-R 3 2"'
loop_
_atom_site_label
_atom_site_type_symbol
_atom_site_fract_x
_atom_site_fract_y
_atom_site_fract_z
La1 La 0.0000 0.0000 0.0000
Nd1 Nd 0.0000 0.0000 0.1322
Zn1 Zn 0.0000 0.0000 0.4177
Sn1 Sn 0.0000 0.0000 0.2658